# 1
DFT (GGA-PBE) results for a relaxed structure of BaBeSe.

Structure (CIF):
```
data_BaBeSe
_cell_length_a 3.621
_cell_length_b 3.621
_cell_length_c 11.267
_cell_angle_alpha 90.00
_cell_angle_beta 90.00
_cell_angle_gamma 90.00
_symmetry_space_group_name_H-M 'I 4 m m'
_symmetry_Int_Tables_number 107
_symmetry_space_group_name_Hall 'I 4 -2'
loop_
_atom_site_label
_atom_site_type_symbol
_atom_site_fract_x
_atom_site_fract_y
_atom_site_fract_z
_atom_site_occupancy
Ba1 Ba 0.000 0.000 0.000 1
Be1 Be 0.000 0.000 0.297 1
Se1 Se 0.000 0.000 0.715 1
```

Properties
Formation energy (no corrections), eV/atom: -0.285
DOS(E_F), states/eV per atom: 0.217
ρ, g cm⁻³: 5.1

***

# 2
DFT (GGA-PBE) results for a relaxed structure of Li2Ta.

Structure (CIF):
```
data_Li2Ta
_cell_length_a 3.1484
_cell_length_b 3.1484
_cell_length_c 4.8619
_cell_angle_alpha 90.00
_cell_angle_beta 90.00
_cell_angle_gamma 120.00
_symmetry_space_group_name_H-M 'P 6/m m m'
_symmetry_Int_Tables_number 191
_symmetry_space_group_name_Hall '-P 6 2'
loop_
_atom_site_label
_atom_site_type_symbol
_atom_site_fract_x
_atom_site_fract_y
_atom_site_fract_z
_atom_site_occupancy
Li1 Li 0.3333 0.6667 0.0000 1
Ta1 Ta 0.0000 0.0000 0.5000 1
```

Properties
DOS(E_F), states/eV per atom: 1.242
ρ, g cm⁻³: 7.8
Calculated formation energy, eV/f.u.: 2.7

***

# 3
DFT (GGA-PBE) results for a relaxed structure of AcMgScAg.

Structure (CIF):
```
data_AcMgScAg
_cell_length_a 7.608
_cell_length_b 7.608
_cell_length_c 7.608
_cell_angle_alpha 90.00
_cell_angle_beta 90.00
_cell_angle_gamma 90.00
_symmetry_space_group_name_H-M 'F -4 3 m'
_symmetry_Int_Tables_number 216
_symmetry_space_group_name_Hall 'F -4 2 3'
loop_
_atom_site_label
_atom_site_type_symbol
_atom_site_fract_x
_atom_site_fract_y
_atom_site_fract_z
_atom_site_occupancy
Ac1 Ac 0.000 0.000 0.000 1
Mg1 Mg 0.250 0.250 0.250 1
Sc1 Sc 0.000 0.000 0.500 1
Ag1 Ag 0.250 0.250 0.750 1
```

Properties
DOS(E_F), states/eV per atom: 1.144
ρ, g cm⁻³: 6.1
Calculated formation energy, eV/f.u.: -0.1

***

# 4
DFT (GGA-PBE) results for a relaxed structure of TiAgP3.

Structure (CIF):
```
data_TiAgP3
_cell_length_a 4.692
_cell_length_b 4.692
_cell_length_c 4.692
_cell_angle_alpha 90.00
_cell_angle_beta 90.00
_cell_angle_gamma 90.00
_symmetry_space_group_name_H-M 'P m -3 m'
_symmetry_Int_Tables_number 221
_symmetry_space_group_name_Hall '-P 4 2 3'
loop_
_atom_site_label
_atom_site_type_symbol
_atom_site_fract_x
_atom_site_fract_y
_atom_site_fract_z
_atom_site_occupancy
Ti1 Ti 0.000 0.000 0.000 1
Ag1 Ag 0.500 0.500 0.500 1
P1 P 0.000 0.000 0.500 1
```

Properties
DOS(E_F), states/eV per atom: 0.786
ρ, g cm⁻³: 4.0
Calculated formation energy, eV/f.u.: 1.8

***

# 5
DFT (GGA-PBE) results for a relaxed structure of CrRuW.

Structure (CIF):
```
data_CrRuW
_cell_length_a 5.760
_cell_length_b 5.760
_cell_length_c 5.760
_cell_angle_alpha 90.00
_cell_angle_beta 90.00
_cell_angle_gamma 90.00
_symmetry_space_group_name_H-M 'F -4 3 m'
_symmetry_Int_Tables_number 216
_symmetry_space_group_name_Hall 'F -4 2 3'
loop_
_atom_site_label
_atom_site_type_symbol
_atom_site_fract_x
_atom_site_fract_y
_atom_site_fract_z
_atom_site_occupancy
Cr1 Cr 0.000 0.000 0.000 1
Ru1 Ru 0.250 0.250 0.250 1
W1 W 0.250 0.250 0.750 1
```

Properties
DOS(E_F), states/eV per atom: 1.451
ρ, g cm⁻³: 11.7
Calculated formation energy, eV/f.u.: 2.1

***

# 6
DFT (GGA-PBE) results for a relaxed structure of ZnCoAs2.

Structure (CIF):
```
data_ZnCoAs2
_cell_length_a 9.084
_cell_length_b 2.836
_cell_length_c 5.610
_cell_angle_alpha 90.00
_cell_angle_beta 110.22
_cell_angle_gamma 90.00
_symmetry_space_group_name_H-M 'C 1 m 1'
_symmetry_Int_Tables_number 8
loop_
_symmetry_equiv_pos_as_xyz
'x,y,z'
'x,-y,z'
'x+1/2,y+1/2,z'
'x+1/2,-y+1/2,z'
loop_
_atom_site_label
_atom_site_type_symbol
_atom_site_fract_x
_atom_site_fract_y
_atom_site_fract_z
_atom_site_occupancy
Zn1 Zn 0.000 0.000 0.000 1
Co1 Co 0.224 0.500 0.973 1
As1 As 0.151 0.000 0.614 1
As2 As 0.336 0.000 0.332 1
```

Properties
DOS(E_F), states/eV per atom: 0.543
ρ, g cm⁻³: 6.7
Calculated formation energy, eV/f.u.: 0.1

***

# 7
DFT (GGA-PBE) results for a relaxed structure of LaNdDyCd.

Structure (CIF):
```
data_LaNdDyCd
_cell_length_a 7.930
_cell_length_b 7.930
_cell_length_c 7.930
_cell_angle_alpha 90.00
_cell_angle_beta 90.00
_cell_angle_gamma 90.00
_symmetry_space_group_name_H-M 'F -4 3 m'
_symmetry_Int_Tables_number 216
_symmetry_space_group_name_Hall 'F -4 2 3'
loop_
_atom_site_label
_atom_site_type_symbol
_atom_site_fract_x
_atom_site_fract_y
_atom_site_fract_z
_atom_site_occupancy
La1 La 0.000 0.000 0.000 1
Nd1 Nd 0.000 0.000 0.500 1
Dy1 Dy 0.250 0.250 0.250 1
Cd1 Cd 0.250 0.250 0.750 1
```

Properties
DOS(E_F), states/eV per atom: 1.481
ρ, g cm⁻³: 7.4
Calculated formation energy, eV/f.u.: -0.2

***

# 8
DFT (GGA-PBE) results for a relaxed structure of La3Pr12Pu.

Structure (CIF):
```
data_La3Pr12Pu
_cell_length_a 5.235
_cell_length_b 5.235
_cell_length_c 20.905
_cell_angle_alpha 90.00
_cell_angle_beta 90.00
_cell_angle_gamma 90.00
_symmetry_space_group_name_H-M 'P 4/m m m'
_symmetry_Int_Tables_number 123
_symmetry_space_group_name_Hall '-P 4 2'
loop_
_atom_site_label
_atom_site_type_symbol
_atom_site_fract_x
_atom_site_fract_y
_atom_site_fract_z
_atom_site_occupancy
La1 La 0.000 0.000 0.000 1
La2 La 0.000 0.000 0.252 1
Pr1 Pr 0.000 0.500 0.127 1
Pr2 Pr 0.000 0.500 0.381 1
Pr3 Pr 0.500 0.500 0.000 1
Pr4 Pr 0.500 0.500 0.253 1
Pr5 Pr 0.500 0.500 0.500 1
Pu1 Pu 0.000 0.000 0.500 1
```

Properties
DOS(E_F), states/eV per atom: 2.064
ρ, g cm⁻³: 6.8
Calculated formation energy, eV/f.u.: 0.7

***

# 9
DFT (GGA-PBE) results for a relaxed structure of Ag2RuCl.

Structure (CIF):
```
data_Ag2RuCl
_cell_length_a 3.835
_cell_length_b 3.835
_cell_length_c 9.819
_cell_angle_alpha 90.00
_cell_angle_beta 90.00
_cell_angle_gamma 90.00
_symmetry_space_group_name_H-M 'I 4/m m m'
_symmetry_Int_Tables_number 139
_symmetry_space_group_name_Hall '-I 4 2'
loop_
_atom_site_label
_atom_site_type_symbol
_atom_site_fract_x
_atom_site_fract_y
_atom_site_fract_z
_atom_site_occupancy
Ag1 Ag 0.000 0.500 0.250 1
Ru1 Ru 0.000 0.000 0.000 1
Cl1 Cl 0.000 0.000 0.500 1
```

Properties
Formation energy (no corrections), eV/atom: 0.752
DOS(E_F), states/eV per atom: 1.230
ρ, g cm⁻³: 8.1

***

# 10
DFT (GGA-PBE) results for a relaxed structure of Eu2GaGe.

Structure (CIF):
```
data_Eu2GaGe
_cell_length_a 7.467
_cell_length_b 7.467
_cell_length_c 7.467
_cell_angle_alpha 90.00
_cell_angle_beta 90.00
_cell_angle_gamma 90.00
_symmetry_space_group_name_H-M 'F m -3 m'
_symmetry_Int_Tables_number 225
_symmetry_space_group_name_Hall '-F 4 2 3'
loop_
_atom_site_label
_atom_site_type_symbol
_atom_site_fract_x
_atom_site_fract_y
_atom_site_fract_z
_atom_site_occupancy
Eu1 Eu 0.250 0.250 0.250 1
Ga1 Ga 0.000 0.000 0.000 1
Ge1 Ge 0.000 0.000 0.500 1
```

Properties
DOS(E_F), states/eV per atom: 2.593
ρ, g cm⁻³: 7.1
Calculated formation energy, eV/f.u.: -2.0

***

# 11
DFT (GGA-PBE) results for a relaxed structure of LiFe2Re.

Structure (CIF):
```
data_LiFe2Re
_cell_length_a 2.6555
_cell_length_b 2.6555
_cell_length_c 26.2203
_cell_angle_alpha 90.00
_cell_angle_beta 90.00
_cell_angle_gamma 120.00
_symmetry_space_group_name_H-M 'R -3 m'
_symmetry_Int_Tables_number 166
_symmetry_space_group_name_Hall '-R 3 2"'
loop_
_atom_site_label
_atom_site_type_symbol
_atom_site_fract_x
_atom_site_fract_y
_atom_site_fract_z
_atom_site_occupancy
Li1 Li 0.0000 0.0000 0.0000 1
Fe1 Fe 0.0000 0.0000 0.2472 1
Re1 Re 0.0000 0.0000 0.5000 1
```

Properties
DOS(E_F), states/eV per atom: 1.316
ρ, g cm⁻³: 9.5
Calculated formation energy, eV/f.u.: 1.2

***

# 12
DFT (GGA-PBE) results for a relaxed structure of Ca2Zn2Pd15.

Structure (CIF):
```
data_Ca2Zn2Pd15
_cell_length_a 9.1290
_cell_length_b 9.1290
_cell_length_c 13.6858
_cell_angle_alpha 90.00
_cell_angle_beta 90.00
_cell_angle_gamma 120.00
_symmetry_space_group_name_H-M 'R -3 m'
_symmetry_Int_Tables_number 166
_symmetry_space_group_name_Hall '-R 3 2"'
loop_
_atom_site_label
_atom_site_type_symbol
_atom_site_fract_x
_atom_site_fract_y
_atom_site_fract_z
_atom_site_occupancy
Ca1 Ca 0.0000 0.0000 0.1550 1
Zn1 Zn 0.0000 0.0000 0.4033 1
Pd1 Pd 0.0000 0.3023 0.5000 1
Pd2 Pd 0.0000 0.5000 0.0000 1
Pd3 Pd 0.0012 0.5006 0.3455 1
```

Properties
DOS(E_F), states/eV per atom: 1.159
ρ, g cm⁻³: 9.1
Calculated formation energy, eV/f.u.: -5.5